(1)
Density functional theory data (PBE-GGA) for RbSn4Br8 after structural relaxation.

Calculated values
- Total energy: -3.13 eV/atom

```
data_RbSn4Br8
_chemical_formula_sum 'Rb3 Sn12 Br24'
_symmetry_space_group_name_H-M 'R -3 m'
_symmetry_Int_Tables_number 166
_symmetry_space_group_name_Hall '-R 3 2"'
_cell_length_a 9.0826
_cell_length_b 9.0826
_cell_length_c 23.9217
_cell_angle_alpha 90.00
_cell_angle_beta 90.00
_cell_angle_gamma 120.00
loop_
_atom_site_label
_atom_site_type_symbol
_atom_site_fract_x
_atom_site_fract_y
_atom_site_fract_z
_atom_site_occupancy
Rb1 Rb 0.0000 0.0000 0.0000 1
Sn1 Sn 0.0000 0.0000 0.5000 1
Sn2 Sn 0.0000 0.5000 0.5000 1
Br1 Br 0.0000 0.0000 0.2316 1
Br2 Br 0.0006 0.5003 0.2334 1
```

***

(2)
Density functional theory data (PBE-GGA) for Tb2H8Rh3 after structural relaxation.

Calculated values
- Total energy: -4.89 eV/atom

```
data_Tb2H8Rh3
_chemical_formula_sum 'Tb4 H16 Rh6'
_symmetry_space_group_name_H-M 'C 1 2/m 1'
_symmetry_Int_Tables_number 12
_symmetry_space_group_name_Hall '-C 2y'
_cell_length_a 9.592
_cell_length_b 5.681
_cell_length_c 4.992
_cell_angle_alpha 90.00
_cell_angle_beta 111.66
_cell_angle_gamma 90.00
loop_
_atom_site_label
_atom_site_type_symbol
_atom_site_fract_x
_atom_site_fract_y
_atom_site_fract_z
_atom_site_occupancy
Tb1 Tb 0.196 0.000 0.193 1
H1 H 0.103 0.500 0.379 1
H2 H 0.105 0.298 0.878 1
H3 H 0.127 0.000 0.588 1
Rh1 Rh 0.000 0.245 0.500 1
Rh2 Rh 0.000 0.500 0.000 1
```

***

(3)
Density functional theory data (PBE-GGA) for Dy2YNb after structural relaxation.

Calculated values
- ΔH_f (0 K): 0.54 eV/atom

```
data_Dy2YNb
_chemical_formula_sum 'Dy6 Y3 Nb3'
_symmetry_space_group_name_H-M 'R -3 m'
_symmetry_Int_Tables_number 166
_symmetry_space_group_name_Hall '-R 3 2"'
_cell_length_a 3.3060
_cell_length_b 3.3060
_cell_length_c 34.7277
_cell_angle_alpha 90.00
_cell_angle_beta 90.00
_cell_angle_gamma 120.00
loop_
_atom_site_label
_atom_site_type_symbol
_atom_site_fract_x
_atom_site_fract_y
_atom_site_fract_z
_atom_site_occupancy
Dy1 Dy 0.0000 0.0000 0.0831 1
Y1 Y 0.0000 0.0000 0.5000 1
Nb1 Nb 0.0000 0.0000 0.0000 1
```